The following is a GGA-PBE calculation of crystalline PmNd2HoEr5 at its relaxed geometry, from Alexandria via LeMat-Bulk.

Calculated values
Density of states at the Fermi level (states/eV/cell): 20.07
Symmetry: I4/mcm, No. 140

a = 8.6800 Å, b = 8.6800 Å, c = 9.8680 Å
α = 116.09°, β = 116.09°, γ = 90.00°
Element x y z (fractional)
Pm 0.2500 0.2500 0.5000
Pm 0.7500 0.7500 0.5000
Nd 0.1169 0.3831 0.0000
Nd 0.6169 0.1169 0.0000
Nd 0.3831 0.8831 0.0000
Nd 0.8831 0.6169 0.0000
Ho 0.2500 0.7500 0.5000
Ho 0.7500 0.2500 0.5000
Er 0.9275 0.4275 0.2770
Er 0.6505 0.1505 0.7230
Er 0.0725 0.5725 0.7230
Er 0.1505 0.0725 0.7230
Er 0.5725 0.6505 0.7230
Er 0.8495 0.9275 0.2770
Er 0.4275 0.3495 0.2770
Er 0.3495 0.8495 0.2770
Er 0.5000 0.5000 0.0000
Er 0.0000 0.0000 0.0000

The following is a GGA-PBE calculation of crystalline Mg2TlAg at its relaxed geometry, from Alexandria via LeMat-Bulk.

Calculated values
Density of states at the Fermi level (states/eV/cell): 0.57
Symmetry: R-3m, No. 166

a = 9.7573 Å, b = 9.7573 Å, c = 9.7573 Å
α = 19.27°, β = 19.27°, γ = 19.27°
Element x y z (fractional)
Tl 0.2500 0.2500 0.2500
Mg 0.0065 0.0065 0.0065
Mg 0.4935 0.4935 0.4935
Ag 0.7500 0.7500 0.7500

The following is a GGA-PBE calculation of crystalline Nd3InGa4 at its relaxed geometry, from Alexandria via LeMat-Bulk.

Calculated values
Density of states at the Fermi level (states/eV/cell): 5.48
Symmetry: Immm, No. 71

a = 4.1219 Å, b = 6.4158 Å, c = 8.8980 Å
α = 111.13°, β = 103.39°, γ = 90.00°
Element x y z (fractional)
Nd 0.1979 0.1979 0.3959
Nd 0.8021 0.8021 0.6041
Nd 0.0000 0.5000 0.0000
In 0.5000 0.0000 0.0000
Ga 0.3729 0.5699 0.7458
Ga 0.6271 0.4301 0.2542
Ga 0.6271 0.8242 0.2542
Ga 0.3729 0.1758 0.7458

The following is a GGA-PBE calculation of crystalline LiCrIr2 at its relaxed geometry, from Alexandria via LeMat-Bulk.

Calculated values
Density of states at the Fermi level (states/eV/cell): 3.27
Symmetry: C2/m, No. 12

a = 4.5020 Å, b = 4.5020 Å, c = 4.7015 Å
α = 80.12°, β = 80.12°, γ = 35.47°
Last column: magnetic moment on the atom in μB.
Element x y z (fractional)
Cr 0.2500 0.2500 0.2500  2.39
Ir 0.9940 0.9940 0.9980  -0.06
Ir 0.5060 0.5060 0.5020  -0.06
Li 0.7500 0.7500 0.7500  0.02

The following is a GGA-PBE calculation of crystalline Ho2VB10 at its relaxed geometry, from Alexandria via LeMat-Bulk.

Calculated values
Density of states at the Fermi level (states/eV/cell): 6.68
Symmetry: Pbam, No. 55

a = 4.1425 Å, b = 5.7108 Å, c = 11.3682 Å
α = 90.00°, β = 90.00°, γ = 90.00°
Last column: magnetic moment on the atom in μB.
Element x y z (fractional)
Ho 0.5000 0.3005 0.8600  0.13
Ho 0.5000 0.6995 0.1400  0.13
Ho 0.5000 0.8005 0.6400  0.13
Ho 0.5000 0.1995 0.3600  0.13
V 0.0000 0.5000 0.5000  1.71
V 0.0000 0.0000 0.0000  1.71
B 0.0000 0.1205 0.5413  0.00
B 0.0000 0.8795 0.4587  0.00
B 0.0000 0.6205 0.9587  0.00
B 0.0000 0.3795 0.0413  0.00
B 0.0000 0.1346 0.6981  0.03
B 0.0000 0.8654 0.3019  0.03
B 0.3001 0.2234 0.1186  0.00
B 0.3001 0.7766 0.8814  0.00
B 0.6999 0.7234 0.3814  0.00
B 0.6999 0.2766 0.6186  0.00
B 0.6999 0.7766 0.8814  0.00
B 0.6999 0.2234 0.1186  0.00
B 0.3001 0.2766 0.6186  0.00
B 0.3001 0.7234 0.3814  0.00
B 0.0000 0.0567 0.1915  -0.01
B 0.0000 0.9433 0.8085  -0.01
B 0.0000 0.5567 0.3085  -0.01
B 0.0000 0.4433 0.6915  -0.01
B 0.0000 0.3654 0.1981  0.03
B 0.0000 0.6346 0.8019  0.03

The following is a GGA-PBE calculation of crystalline Tb2SmHo4Sc at its relaxed geometry, from Alexandria via LeMat-Bulk.

Calculated values
Density of states at the Fermi level (states/eV/cell): 11.60
Symmetry: P4/mmm, No. 123

a = 4.9661 Å, b = 4.9654 Å, c = 11.1143 Å
α = 63.49°, β = 90.00°, γ = 90.00°
Element x y z (fractional)
Tb 0.0000 0.0000 0.0000
Tb 0.5000 0.0000 0.5000
Sm 0.5000 0.5000 0.0000
Ho 0.0000 0.7559 0.7439
Ho 0.0000 0.2441 0.2561
Ho 0.5000 0.7442 0.2560
Ho 0.5000 0.2558 0.7440
Sc 0.0000 0.5000 0.5000

| no. | total DFT energy (no corrections) (Ry/atom) |
| --- | --- |
| 1 | -0.321 |
| 2 | -0.159 |
| 3 | -0.296 |
| 4 | -0.543 |
| 5 | -0.508 |
| 6 | -0.353 |